{
  "formula": "PaFeRuO6",
  "functional": "GGA+U",
  "state": "relaxed",
  "lattice_angstrom": [[4.845, 0.000, 0.000], [0.000, 4.845, 0.000], [0.000, 0.000, 9.705]],
  "species": ["Pa", "Pa", "Fe", "Fe", "Ru", "Ru", "O", "O", "O", "O", "O", "O", "O", "O", "O", "O", "O", "O"],
  "fractional_positions": [[0.000, 0.000, 0.000], [0.500, 0.500, 0.500], [0.000, 0.000, 0.328], [0.500, 0.500, 0.828], [0.000, 0.000, 0.667], [0.500, 0.500, 0.167], [0.186, 0.186, 0.509], [0.195, 0.195, 0.819], [0.212, 0.212, 0.166], [0.288, 0.712, 0.666], [0.305, 0.695, 0.319], [0.314, 0.686, 0.009], [0.686, 0.314, 0.009], [0.695, 0.305, 0.319], [0.712, 0.288, 0.666], [0.788, 0.788, 0.166], [0.805, 0.805, 0.819], [0.814, 0.814, 0.509]],
  "total_energy_ev_per_atom": -7.849
}